[1]
# Ge3Pd8 PBE-GGA optimized geometry
# Formation enthalpy at 0 K   -229 meV per atom
# Total energy   -57.91 eV/cell
# Calculated density   9.5 g cm⁻³
data_Ge3Pd8
_cell_length_a 5.727
_cell_length_b 5.727
_cell_length_c 5.727
_cell_angle_alpha 87.26
_cell_angle_beta 87.26
_cell_angle_gamma 87.26
_symmetry_space_group_name_H-M 'P 1'
_symmetry_Int_Tables_number 1
loop_
_symmetry_equiv_pos_as_xyz
'x,y,z'
loop_
_atom_site_label
_atom_site_type_symbol
_atom_site_fract_x
_atom_site_fract_y
_atom_site_fract_z
Ge1 Ge 0.000 0.500 0.500
Ge2 Ge 0.500 0.000 0.500
Ge3 Ge 0.500 0.500 0.000
Pd1 Pd 0.152 0.768 0.766
Pd2 Pd 0.232 0.234 0.848
Pd3 Pd 0.234 0.848 0.232
Pd4 Pd 0.368 0.368 0.368
Pd5 Pd 0.632 0.632 0.632
Pd6 Pd 0.766 0.152 0.768
Pd7 Pd 0.768 0.766 0.152
Pd8 Pd 0.848 0.232 0.234

---

[2]
# GePd4 PBE-GGA optimized geometry
# Formation enthalpy at 0 K   -341 meV per atom
# Total energy   -54.18 eV/cell
# E above lowest polymorph   0 meV/atom
# Calculated density   10.8 g cm⁻³
data_GePd4
_cell_length_a 5.322
_cell_length_b 5.335
_cell_length_c 6.606
_cell_angle_alpha 66.84
_cell_angle_beta 77.98
_cell_angle_gamma 62.86
_symmetry_space_group_name_H-M 'P 1'
_symmetry_Int_Tables_number 1
loop_
_symmetry_equiv_pos_as_xyz
'x,y,z'
loop_
_atom_site_label
_atom_site_type_symbol
_atom_site_fract_x
_atom_site_fract_y
_atom_site_fract_z
Ge1 Ge 0.206 0.400 0.278
Ge2 Ge 0.794 0.600 0.722
Pd1 Pd 0.022 0.198 0.080
Pd2 Pd 0.211 0.715 0.503
Pd3 Pd 0.329 0.085 0.674
Pd4 Pd 0.496 0.315 0.902
Pd5 Pd 0.504 0.685 0.098
Pd6 Pd 0.671 0.915 0.326
Pd7 Pd 0.789 0.285 0.497
Pd8 Pd 0.978 0.802 0.920

---

[3]
# GePd3 PBE-GGA optimized geometry
# Formation enthalpy at 0 K   -328 meV per atom
# Total energy   -43.02 eV/cell
# Calculated density   10.7 g cm⁻³
data_GePd3
_cell_length_a 5.616
_cell_length_b 5.616
_cell_length_c 4.454
_cell_angle_alpha 90.00
_cell_angle_beta 90.00
_cell_angle_gamma 120.00
_symmetry_space_group_name_H-M 'P 1'
_symmetry_Int_Tables_number 1
loop_
_symmetry_equiv_pos_as_xyz
'x,y,z'
loop_
_atom_site_label
_atom_site_type_symbol
_atom_site_fract_x
_atom_site_fract_y
_atom_site_fract_z
Ge1 Ge 0.333 0.667 0.250
Ge2 Ge 0.667 0.333 0.750
Pd1 Pd 0.170 0.339 0.750
Pd2 Pd 0.170 0.830 0.750
Pd3 Pd 0.339 0.170 0.250
Pd4 Pd 0.661 0.830 0.750
Pd5 Pd 0.830 0.170 0.250
Pd6 Pd 0.830 0.661 0.250

---

[4]
# GePd3 PBE-GGA optimized geometry
# Formation enthalpy at 0 K   -413 meV per atom
# Total energy   -43.69 eV/cell
# Calculated density   10.6 g cm⁻³
data_GePd3
_cell_length_a 5.501
_cell_length_b 5.501
_cell_length_c 7.710
_cell_angle_alpha 90.00
_cell_angle_beta 90.00
_cell_angle_gamma 148.22
_symmetry_space_group_name_H-M 'P 1'
_symmetry_Int_Tables_number 1
loop_
_symmetry_equiv_pos_as_xyz
'x,y,z'
loop_
_atom_site_label
_atom_site_type_symbol
_atom_site_fract_x
_atom_site_fract_y
_atom_site_fract_z
Ge1 Ge 0.238 0.762 0.750
Ge2 Ge 0.762 0.238 0.250
Pd1 Pd 0.133 0.867 0.051
Pd2 Pd 0.133 0.867 0.449
Pd3 Pd 0.456 0.544 0.250
Pd4 Pd 0.544 0.456 0.750
Pd5 Pd 0.867 0.133 0.551
Pd6 Pd 0.867 0.133 0.949

---

[5]
# GePd3 PBE-GGA optimized geometry
# Formation enthalpy at 0 K   -271 meV per atom
# Total energy   -21.28 eV/cell
# Calculated density   10.6 g cm⁻³
data_GePd3
_cell_length_a 3.001
_cell_length_b 4.415
_cell_length_c 4.639
_cell_angle_alpha 90.00
_cell_angle_beta 90.00
_cell_angle_gamma 90.00
_symmetry_space_group_name_H-M 'P 1'
_symmetry_Int_Tables_number 1
loop_
_symmetry_equiv_pos_as_xyz
'x,y,z'
loop_
_atom_site_label
_atom_site_type_symbol
_atom_site_fract_x
_atom_site_fract_y
_atom_site_fract_z
Ge1 Ge 0.000 0.000 0.000
Pd1 Pd 0.000 0.500 0.343
Pd2 Pd 0.500 0.000 0.488
Pd3 Pd 0.500 0.500 0.849

---

[6]
# GePd3 PBE-GGA optimized geometry
# Formation enthalpy at 0 K   -366 meV per atom
# Total energy   -21.66 eV/cell
# Calculated density   10.6 g cm⁻³
data_GePd3
_cell_length_a 5.198
_cell_length_b 5.198
_cell_length_c 5.198
_cell_angle_alpha 145.32
_cell_angle_beta 63.22
_cell_angle_gamma 128.92
_symmetry_space_group_name_H-M 'P 1'
_symmetry_Int_Tables_number 1
loop_
_symmetry_equiv_pos_as_xyz
'x,y,z'
loop_
_atom_site_label
_atom_site_type_symbol
_atom_site_fract_x
_atom_site_fract_y
_atom_site_fract_z
Ge1 Ge 0.000 0.000 0.000
Pd1 Pd 0.226 0.507 0.719
Pd2 Pd 0.505 0.005 0.500
Pd3 Pd 0.788 0.507 0.281

---

[7]
# Ge2Pd5 PBE-GGA optimized geometry
# Formation enthalpy at 0 K   -436 meV per atom
# Total energy   -76.51 eV/cell
# Calculated density   10.2 g cm⁻³
data_Ge2Pd5
_cell_length_a 7.132
_cell_length_b 7.132
_cell_length_c 5.553
_cell_angle_alpha 94.41
_cell_angle_beta 94.41
_cell_angle_gamma 51.43
_symmetry_space_group_name_H-M 'P 1'
_symmetry_Int_Tables_number 1
loop_
_symmetry_equiv_pos_as_xyz
'x,y,z'
loop_
_atom_site_label
_atom_site_type_symbol
_atom_site_fract_x
_atom_site_fract_y
_atom_site_fract_z
Ge1 Ge 0.135 0.640 0.965
Ge2 Ge 0.360 0.865 0.535
Ge3 Ge 0.640 0.135 0.465
Ge4 Ge 0.865 0.360 0.035
Pd1 Pd 0.051 0.764 0.522
Pd2 Pd 0.235 0.317 0.228
Pd3 Pd 0.236 0.949 0.978
Pd4 Pd 0.317 0.235 0.728
Pd5 Pd 0.478 0.522 0.250
Pd6 Pd 0.522 0.478 0.750
Pd7 Pd 0.683 0.765 0.272
Pd8 Pd 0.764 0.051 0.022
Pd9 Pd 0.765 0.683 0.772
Pd10 Pd 0.949 0.236 0.478

---

[8]
# Ge3Pd PBE-GGA optimized geometry
# Formation enthalpy at 0 K   76 meV per atom
# Total energy   -18.74 eV/cell
# Calculated density   7.6 g cm⁻³
data_Ge3Pd
_cell_length_a 4.144
_cell_length_b 4.144
_cell_length_c 4.144
_cell_angle_alpha 90.00
_cell_angle_beta 90.00
_cell_angle_gamma 90.00
_symmetry_space_group_name_H-M 'P 1'
_symmetry_Int_Tables_number 1
loop_
_symmetry_equiv_pos_as_xyz
'x,y,z'
loop_
_atom_site_label
_atom_site_type_symbol
_atom_site_fract_x
_atom_site_fract_y
_atom_site_fract_z
Ge1 Ge 0.000 0.000 0.500
Ge2 Ge 0.000 0.500 0.000
Ge3 Ge 0.500 0.000 0.000
Pd1 Pd 0.500 0.500 0.500

---

[9]
# GePd5 PBE-GGA optimized geometry
# Formation enthalpy at 0 K   -251 meV per atom
# Total energy   -32.09 eV/cell
# Calculated density   11.0 g cm⁻³
data_GePd5
_cell_length_a 5.836
_cell_length_b 5.836
_cell_length_c 4.086
_cell_angle_alpha 90.00
_cell_angle_beta 90.00
_cell_angle_gamma 138.90
_symmetry_space_group_name_H-M 'P 1'
_symmetry_Int_Tables_number 1
loop_
_symmetry_equiv_pos_as_xyz
'x,y,z'
loop_
_atom_site_label
_atom_site_type_symbol
_atom_site_fract_x
_atom_site_fract_y
_atom_site_fract_z
Ge1 Ge 0.000 0.000 0.000
Pd1 Pd 0.161 0.839 0.500
Pd2 Pd 0.339 0.661 0.000
Pd3 Pd 0.500 0.500 0.500
Pd4 Pd 0.661 0.339 0.000
Pd5 Pd 0.839 0.161 0.500

---

[10]
# Ge2Pd3 PBE-GGA optimized geometry
# Formation enthalpy at 0 K   -331 meV per atom
# Total energy   -52.94 eV/cell
# Calculated density   9.3 g cm⁻³
data_Ge2Pd3
_cell_length_a 5.714
_cell_length_b 5.714
_cell_length_c 5.714
_cell_angle_alpha 73.26
_cell_angle_beta 73.26
_cell_angle_gamma 73.26
_symmetry_space_group_name_H-M 'P 1'
_symmetry_Int_Tables_number 1
loop_
_symmetry_equiv_pos_as_xyz
'x,y,z'
loop_
_atom_site_label
_atom_site_type_symbol
_atom_site_fract_x
_atom_site_fract_y
_atom_site_fract_z
Ge1 Ge 0.105 0.105 0.105
Ge2 Ge 0.395 0.395 0.395
Ge3 Ge 0.605 0.605 0.605
Ge4 Ge 0.895 0.895 0.895
Pd1 Pd 0.019 0.750 0.481
Pd2 Pd 0.250 0.519 0.981
Pd3 Pd 0.481 0.019 0.750
Pd4 Pd 0.519 0.981 0.250
Pd5 Pd 0.750 0.481 0.019
Pd6 Pd 0.981 0.250 0.519

---

[11]
# Ge3Pd PBE-GGA optimized geometry
# Formation enthalpy at 0 K   31 meV per atom
# Total energy   -18.92 eV/cell
# Calculated density   7.3 g cm⁻³
data_Ge3Pd
_cell_length_a 6.097
_cell_length_b 6.097
_cell_length_c 6.097
_cell_angle_alpha 151.17
_cell_angle_beta 52.08
_cell_angle_gamma 137.61
_symmetry_space_group_name_H-M 'P 1'
_symmetry_Int_Tables_number 1
loop_
_symmetry_equiv_pos_as_xyz
'x,y,z'
loop_
_atom_site_label
_atom_site_type_symbol
_atom_site_fract_x
_atom_site_fract_y
_atom_site_fract_z
Ge1 Ge 0.000 0.000 0.000
Ge2 Ge 0.357 0.565 0.792
Ge3 Ge 0.773 0.565 0.208
Pd1 Pd 0.495 0.995 0.500

---

[12]
# Ge9Pd25 PBE-GGA optimized geometry
# Formation enthalpy at 0 K   -445 meV per atom
# Total energy   -186.49 eV/cell
# Calculated density   10.6 g cm⁻³
data_Ge9Pd25
_cell_length_a 7.475
_cell_length_b 7.475
_cell_length_c 10.741
_cell_angle_alpha 90.00
_cell_angle_beta 90.00
_cell_angle_gamma 120.00
_symmetry_space_group_name_H-M 'P 1'
_symmetry_Int_Tables_number 1
loop_
_symmetry_equiv_pos_as_xyz
'x,y,z'
loop_
_atom_site_label
_atom_site_type_symbol
_atom_site_fract_x
_atom_site_fract_y
_atom_site_fract_z
Ge1 Ge 0.000 0.000 0.000
Ge2 Ge 0.008 0.343 0.678
Ge3 Ge 0.333 0.667 0.980
Ge4 Ge 0.335 0.992 0.678
Ge5 Ge 0.343 0.335 0.322
Ge6 Ge 0.657 0.665 0.678
Ge7 Ge 0.665 0.008 0.322
Ge8 Ge 0.667 0.333 0.020
Ge9 Ge 0.992 0.657 0.322
Pd1 Pd 0.000 0.000 0.248
Pd2 Pd 0.000 0.000 0.500
Pd3 Pd 0.000 0.000 0.752
Pd4 Pd 0.070 0.726 0.080
Pd5 Pd 0.073 0.380 0.431
Pd6 Pd 0.091 0.673 0.814
Pd7 Pd 0.274 0.344 0.080
Pd8 Pd 0.307 0.927 0.431
Pd9 Pd 0.327 0.418 0.814
Pd10 Pd 0.333 0.667 0.243
Pd11 Pd 0.333 0.667 0.607
Pd12 Pd 0.344 0.070 0.920
Pd13 Pd 0.380 0.307 0.569
Pd14 Pd 0.418 0.091 0.186
Pd15 Pd 0.582 0.909 0.814
Pd16 Pd 0.620 0.693 0.431
Pd17 Pd 0.656 0.930 0.080
Pd18 Pd 0.667 0.333 0.393
Pd19 Pd 0.667 0.333 0.757
Pd20 Pd 0.673 0.582 0.186
Pd21 Pd 0.693 0.073 0.569
Pd22 Pd 0.726 0.656 0.920
Pd23 Pd 0.909 0.327 0.186
Pd24 Pd 0.927 0.620 0.569
Pd25 Pd 0.930 0.274 0.920

---

[13]
# GePd3 PBE-GGA optimized geometry
# Formation enthalpy at 0 K   -327 meV per atom
# Total energy   -21.50 eV/cell
# Calculated density   10.7 g cm⁻³
data_GePd3
_cell_length_a 4.698
_cell_length_b 4.698
_cell_length_c 4.698
_cell_angle_alpha 129.20
_cell_angle_beta 129.20
_cell_angle_gamma 74.69
_symmetry_space_group_name_H-M 'P 1'
_symmetry_Int_Tables_number 1
loop_
_symmetry_equiv_pos_as_xyz
'x,y,z'
loop_
_atom_site_label
_atom_site_type_symbol
_atom_site_fract_x
_atom_site_fract_y
_atom_site_fract_z
Ge1 Ge 0.000 0.000 0.000
Pd1 Pd 0.250 0.750 0.500
Pd2 Pd 0.500 0.500 0.000
Pd3 Pd 0.750 0.250 0.500

---

[14]
# Ge4Pd PBE-GGA optimized geometry
# Formation enthalpy at 0 K   447 meV per atom
# Total energy   -21.43 eV/cell
# Calculated density   5.7 g cm⁻³
data_Ge4Pd
_cell_length_a 4.865
_cell_length_b 4.865
_cell_length_c 4.865
_cell_angle_alpha 90.00
_cell_angle_beta 90.00
_cell_angle_gamma 90.00
_symmetry_space_group_name_H-M 'P 1'
_symmetry_Int_Tables_number 1
loop_
_symmetry_equiv_pos_as_xyz
'x,y,z'
loop_
_atom_site_label
_atom_site_type_symbol
_atom_site_fract_x
_atom_site_fract_y
_atom_site_fract_z
Ge1 Ge 0.000 0.000 0.000
Ge2 Ge 0.000 0.500 0.500
Ge3 Ge 0.500 0.000 0.500
Ge4 Ge 0.500 0.500 0.000
Pd1 Pd 0.500 0.500 0.500

---

[15]
# Ge3Pd PBE-GGA optimized geometry
# Formation enthalpy at 0 K   5 meV per atom
# Total energy   -19.02 eV/cell
# Calculated density   7.4 g cm⁻³
data_Ge3Pd
_cell_length_a 2.996
_cell_length_b 3.305
_cell_length_c 7.360
_cell_angle_alpha 90.00
_cell_angle_beta 90.00
_cell_angle_gamma 90.00
_symmetry_space_group_name_H-M 'P 1'
_symmetry_Int_Tables_number 1
loop_
_symmetry_equiv_pos_as_xyz
'x,y,z'
loop_
_atom_site_label
_atom_site_type_symbol
_atom_site_fract_x
_atom_site_fract_y
_atom_site_fract_z
Ge1 Ge 0.000 0.000 0.000
Ge2 Ge 0.000 0.500 0.301
Ge3 Ge 0.500 0.500 0.764
Pd1 Pd 0.500 0.000 0.492

---

[16]
# GePd2 PBE-GGA optimized geometry
# Formation enthalpy at 0 K   -531 meV per atom
# Total energy   -49.78 eV/cell
# Calculated density   10.2 g cm⁻³
data_GePd2
_cell_length_a 6.779
_cell_length_b 6.779
_cell_length_c 3.486
_cell_angle_alpha 90.00
_cell_angle_beta 90.00
_cell_angle_gamma 120.00
_symmetry_space_group_name_H-M 'P 1'
_symmetry_Int_Tables_number 1
loop_
_symmetry_equiv_pos_as_xyz
'x,y,z'
loop_
_atom_site_label
_atom_site_type_symbol
_atom_site_fract_x
_atom_site_fract_y
_atom_site_fract_z
Ge1 Ge 0.000 0.000 0.000
Ge2 Ge 0.333 0.667 0.500
Ge3 Ge 0.667 0.333 0.500
Pd1 Pd 0.000 0.270 0.500
Pd2 Pd 0.000 0.609 0.000
Pd3 Pd 0.270 0.000 0.500
Pd4 Pd 0.391 0.391 0.000
Pd5 Pd 0.609 0.000 0.000
Pd6 Pd 0.730 0.730 0.500

---

[17]
# PmGe3Pd2 PBE-GGA optimized geometry
# Formation enthalpy at 0 K   -515 meV per atom
# Total energy   -64.16 eV/cell
# E above lowest polymorph   45 meV/atom
# Calculated density   7.8 g cm⁻³
data_PmGe3Pd2
_cell_length_a 6.345
_cell_length_b 6.345
_cell_length_c 6.131
_cell_angle_alpha 90.00
_cell_angle_beta 90.00
_cell_angle_gamma 98.40
_symmetry_space_group_name_H-M 'P 1'
_symmetry_Int_Tables_number 1
loop_
_symmetry_equiv_pos_as_xyz
'x,y,z'
loop_
_atom_site_label
_atom_site_type_symbol
_atom_site_fract_x
_atom_site_fract_y
_atom_site_fract_z
Pm1 Pm 0.190 0.810 0.750
Pm2 Pm 0.810 0.190 0.250
Ge1 Ge 0.026 0.277 0.750
Ge2 Ge 0.277 0.026 0.250
Ge3 Ge 0.359 0.641 0.250
Ge4 Ge 0.641 0.359 0.750
Ge5 Ge 0.723 0.974 0.750
Ge6 Ge 0.974 0.723 0.250
Pd1 Pd 0.326 0.326 0.000
Pd2 Pd 0.326 0.326 0.500
Pd3 Pd 0.674 0.674 0.000
Pd4 Pd 0.674 0.674 0.500

---

[18]
# Pm2GePd PBE-GGA optimized geometry
# Formation enthalpy at 0 K   -822 meV per atom
# Total energy   -45.20 eV/cell
# E above lowest polymorph   0 meV/atom
# Calculated density   7.8 g cm⁻³
data_Pm2GePd
_cell_length_a 5.989
_cell_length_b 4.399
_cell_length_c 8.090
_cell_angle_alpha 90.00
_cell_angle_beta 110.36
_cell_angle_gamma 90.00
_symmetry_space_group_name_H-M 'P 1'
_symmetry_Int_Tables_number 1
loop_
_symmetry_equiv_pos_as_xyz
'x,y,z'
loop_
_atom_site_label
_atom_site_type_symbol
_atom_site_fract_x
_atom_site_fract_y
_atom_site_fract_z
Pm1 Pm 0.223 0.250 0.417
Pm2 Pm 0.224 0.250 0.939
Pm3 Pm 0.776 0.750 0.061
Pm4 Pm 0.777 0.750 0.583
Ge1 Ge 0.327 0.750 0.705
Ge2 Ge 0.673 0.250 0.295
Pd1 Pd 0.357 0.750 0.212
Pd2 Pd 0.643 0.250 0.788

---

[19]
# Pm3Ge8Pd3 PBE-GGA optimized geometry
# Formation enthalpy at 0 K   -508 meV per atom
# Total energy   -73.88 eV/cell
# E above lowest polymorph   72 meV/atom
# Calculated density   7.8 g cm⁻³
data_Pm3Ge8Pd3
_cell_length_a 8.439
_cell_length_b 8.439
_cell_length_c 8.439
_cell_angle_alpha 150.30
_cell_angle_beta 101.64
_cell_angle_gamma 85.96
_symmetry_space_group_name_H-M 'P 1'
_symmetry_Int_Tables_number 1
loop_
_symmetry_equiv_pos_as_xyz
'x,y,z'
loop_
_atom_site_label
_atom_site_type_symbol
_atom_site_fract_x
_atom_site_fract_y
_atom_site_fract_z
Pm1 Pm 0.000 0.000 0.000
Pm2 Pm 0.315 0.315 0.000
Pm3 Pm 0.685 0.685 0.000
Ge1 Ge 0.038 0.661 0.376
Ge2 Ge 0.175 0.878 0.297
Ge3 Ge 0.285 0.661 0.624
Ge4 Ge 0.419 0.122 0.297
Ge5 Ge 0.581 0.878 0.703
Ge6 Ge 0.715 0.339 0.376
Ge7 Ge 0.825 0.122 0.703
Ge8 Ge 0.962 0.339 0.624
Pd1 Pd 0.274 0.500 0.774
Pd2 Pd 0.500 0.000 0.500
Pd3 Pd 0.726 0.500 0.226

---

[20]
# Pm4GePd2 PBE-GGA optimized geometry
# Formation enthalpy at 0 K   -644 meV per atom
# Total energy   -77.03 eV/cell
# Calculated density   7.8 g cm⁻³
data_Pm4GePd2
_cell_length_a 7.837
_cell_length_b 7.837
_cell_length_c 7.837
_cell_angle_alpha 108.53
_cell_angle_beta 108.53
_cell_angle_gamma 111.37
_symmetry_space_group_name_H-M 'P 1'
_symmetry_Int_Tables_number 1
loop_
_symmetry_equiv_pos_as_xyz
'x,y,z'
loop_
_atom_site_label
_atom_site_type_symbol
_atom_site_fract_x
_atom_site_fract_y
_atom_site_fract_z
Pm1 Pm 0.121 0.499 0.746
Pm2 Pm 0.125 0.003 0.754
Pm3 Pm 0.249 0.371 0.246
Pm4 Pm 0.501 0.247 0.622
Pm5 Pm 0.625 0.879 0.378
Pm6 Pm 0.629 0.875 0.878
Pm7 Pm 0.753 0.375 0.254
Pm8 Pm 0.997 0.751 0.122
Ge1 Ge 0.250 0.750 0.500
Ge2 Ge 0.500 0.500 0.000
Pd1 Pd 0.375 0.010 0.135
Pd2 Pd 0.760 0.625 0.635
Pd3 Pd 0.875 0.240 0.865
Pd4 Pd 0.990 0.125 0.365